Crystalline Ag3MoO at its relaxed geometry. Source: Alexandria, functional PBE+U.

extended XYZ file:
```
5
Lattice="4.546 0.000 0.000 0.000 4.546 0.000 0.000 0.000 4.546" Properties=species:S:1:pos:R:3 pbc="T T T"
Ag 0.000 0.000 2.273
Ag 0.000 2.273 0.000
Ag 2.273 0.000 0.000
Mo 2.273 2.273 2.273
O 0.000 0.000 0.000
```

E = -18.15 eV for the cell shown
magnetization = 5.01 μB per cell
energy above the lowest structure with this stoichiometry = 0.00 eV per formula unit
crystal system = cubic